Compound: Pm6PrDy2Mg
Source: Alexandria via LeMat-Bulk
Functional: PBE
Structure: relaxed

```
20
Lattice="4.693 -7.897 0.000 4.693 7.897 0.000 -0.200 0.000 8.980" Properties=species:S:1:pos:R:3 pbc="T T T"
Pm 2.163 3.348 7.184
Pm 4.206 5.271 4.948
Pm 4.881 5.271 8.522
Pm 3.638 2.027 3.663
Pm 2.263 -3.348 2.694
Pm 5.649 2.027 0.827
Pm 3.538 -2.027 8.153
Pm 6.924 3.348 6.286
Pm 5.549 -2.027 5.317
Pm 4.306 -5.271 0.458
Pm 4.981 -5.271 4.032
Pm 7.024 -3.348 1.796
Pr 4.643 7.373 2.245
Pr 4.544 -7.373 6.735
Dy 2.540 0.830 0.492
Dy 2.440 -0.830 4.982
Dy 6.747 0.830 3.998
Dy 6.647 -0.830 8.488
Mg 4.544 0.971 6.735
Mg 4.643 -0.971 2.245
```

Properties
The value obtained for the energy of formation is 0.11 eV per atom. The value obtained for the density is 6786 kg/m³.


Compound: Pm2PrDy2Mg
Source: Alexandria via LeMat-Bulk
Functional: PBE
Structure: relaxed

```
12
Lattice="5.548 0.000 0.000 0.000 19.035 0.000 0.000 0.000 3.715" Properties=species:S:1:pos:R:3 pbc="T T T"
Pm 0.014 3.570 0.000
Pm 2.760 13.088 1.858
Pm 2.788 5.947 1.858
Pm 5.535 15.465 0.000
Pr 0.000 0.000 1.858
Pr 2.774 9.517 0.000
Dy 0.012 7.009 0.000
Dy 2.762 16.526 1.858
Dy 2.787 2.509 1.858
Dy 5.536 12.026 0.000
Mg 0.000 9.517 1.858
Mg 2.774 0.000 0.000
```

Properties
The value obtained for the energy of formation is 0.09 eV per atom. The value obtained for the density is 6604 kg/m³.


Compound: Pm4Pr2DyMg
Source: Alexandria via LeMat-Bulk
Functional: PBE
Structure: relaxed

```
8
Lattice="5.881 0.000 0.000 0.000 5.881 0.000 0.000 0.000 7.655" Properties=species:S:1:pos:R:3 pbc="T T T"
Pm 0.000 2.941 1.802
Pm 0.000 2.941 5.853
Pm 2.941 0.000 1.802
Pm 2.941 0.000 5.853
Pr 0.000 0.000 0.000
Pr 2.941 2.941 3.828
Dy 0.000 0.000 3.828
Mg 2.941 2.941 0.000
```

Properties
The value obtained for the energy of formation is 0.08 eV per atom. The value obtained for the density is 6576 kg/m³.


Compound: PmPrDyMg
Source: Alexandria via LeMat-Bulk
Functional: PBE
Structure: relaxed

```
4
Lattice="0.000 3.970 3.970 3.970 0.000 3.970 3.970 3.970 0.000" Properties=species:S:1:pos:R:3 pbc="T T T"
Pm 0.000 0.000 0.000
Pr 3.970 3.970 3.970
Dy 5.956 5.956 5.956
Mg 1.985 1.985 1.985
```

Properties
The calculation puts the energy above the most stable polymorph in this dataset at 0.056 eV/atom. The value obtained for the energy of formation is 0.02 eV per atom. The value obtained for the density is 6271 kg/m³.


- Which formula does entry 4 have?
  PmPrDyMg


- Look up the energy of formation of the first one.
  0.11 eV per atom


- What is the density in the fourth record?
  6271 kg/m³


- Among the records above, which one has the highest energy of formation?
  Pm6PrDy2Mg